Compound: Mg2SiBiOs
Source: Alexandria via LeMat-Bulk
Functional: PBE-GGA
Structure: relaxed

Results
Space-group type   No. 123
Uncorrected formation energy   1.214 eV per atom
Calculated density   6.32 g/cm3
Crystal system   tetragonal

POSCAR file:
```
Mg2SiBiOs
1.0
4.765 0.000 0.000
0.000 5.506 0.000
0.000 0.000 4.765
Si Mg Bi Os
1 2 1 1
Direct
0.000 0.000 0.000
0.500 0.000 0.000
0.000 0.000 0.500
0.000 0.500 0.000
0.500 0.500 0.500
```